# Dy2HoTm7 | the Alexandria database | PBE | relaxed
data_Dy2HoTm7
_chemical_formula_sum 'Dy2 Ho1 Tm7'
_cell_length_a 6.046
_cell_length_b 6.999
_cell_length_c 7.808
_cell_angle_alpha 77.16
_cell_angle_beta 74.98
_cell_angle_gamma 73.33
_symmetry_space_group_name_H-M 'P -1'
_symmetry_Int_Tables_number 2
_symmetry_space_group_name_Hall '-P 1'
loop_
_atom_site_label
_atom_site_fract_x
_atom_site_fract_y
_atom_site_fract_z
_atom_site_occupancy
Dy1 0.200 0.300 0.100 1
Ho1 0.000 0.000 0.500 1
Tm1 0.000 0.500 0.500 1
Tm2 0.200 0.800 0.100 1
Tm3 0.400 0.100 0.699 1
Tm4 0.400 0.600 0.700 1
# - Density of states at the Fermi level: 14.20 states/eV per cell
# - Mass density: 9.20 Mg/m³
# - Formation enthalpy at 0 K: 0.025 eV per atom
# - Energy relative to the lowest polymorph listed for this composition: 0.0 kJ per mole of atoms
# - Size of the total moment: 0.00 μB/cell
# - E: -44.8 eV per formula unit

# Dy2Ho15Tm2 | the Alexandria database | PBE | relaxed
data_Dy2Ho15Tm2
_chemical_formula_sum 'Dy6 Ho45 Tm6'
_cell_length_a 11.0406
_cell_length_b 11.0406
_cell_length_c 17.4900
_cell_angle_alpha 90.00
_cell_angle_beta 90.00
_cell_angle_gamma 120.00
_symmetry_space_group_name_H-M 'R -3 m'
_symmetry_Int_Tables_number 166
_symmetry_space_group_name_Hall '-R 3 2"'
loop_
_atom_site_label
_atom_site_fract_x
_atom_site_fract_y
_atom_site_fract_z
_atom_site_occupancy
Dy1 0.0000 0.0000 0.1780 1
Ho1 0.0000 0.2985 0.5000 1
Ho2 0.0000 0.5000 0.0000 1
Ho3 0.0125 0.5062 0.6359 1
Tm1 0.0000 0.0000 0.4038 1
# - Density of states at the Fermi level: 98.16 states/eV per cell
# - Mass density: 8.46 Mg/m³
# - Formation enthalpy at 0 K: 0.290 eV per atom
# - Size of the total moment: 0.00 μB/cell
# - E: -81.3 eV per formula unit

# Dy2Ho3Tm9 | the Alexandria database | PBE | relaxed
data_Dy2Ho3Tm9
_chemical_formula_sum 'Dy2 Ho3 Tm9'
_cell_length_a 6.324
_cell_length_b 8.275
_cell_length_c 8.753
_cell_angle_alpha 86.87
_cell_angle_beta 82.30
_cell_angle_gamma 70.90
_symmetry_space_group_name_H-M 'P 1'
_symmetry_Int_Tables_number 1
_symmetry_space_group_name_Hall 'P 1'
loop_
_atom_site_label
_atom_site_fract_x
_atom_site_fract_y
_atom_site_fract_z
_atom_site_occupancy
Dy1 0.000 0.000 0.000 1
Dy2 0.137 0.649 0.198 1
Ho1 0.359 0.091 0.751 1
Ho2 0.522 0.294 0.044 1
Ho3 0.685 0.604 0.416 1
Tm1 0.073 0.248 0.264 1
Tm2 0.204 0.898 0.463 1
Tm3 0.236 0.444 0.536 1
Tm4 0.395 0.653 0.796 1
Tm5 0.546 0.854 0.085 1
Tm6 0.656 0.048 0.377 1
Tm7 0.810 0.246 0.664 1
Tm8 0.842 0.808 0.709 1
Tm9 0.965 0.456 0.926 1
# - Density of states at the Fermi level: 24.28 states/eV per cell
# - Mass density: 9.06 Mg/m³
# - Formation enthalpy at 0 K: 0.087 eV per atom
# - Size of the total moment: 0.00 μB/cell
# - E: -62.0 eV per formula unit

# Dy3Ho7Tm | the Alexandria database | PBE | relaxed
data_Dy3Ho7Tm
_chemical_formula_sum 'Dy6 Ho14 Tm2'
_cell_length_a 12.457
_cell_length_b 11.074
_cell_length_c 5.745
_cell_angle_alpha 90.00
_cell_angle_beta 117.38
_cell_angle_gamma 90.00
_symmetry_space_group_name_H-M 'C 1 2/m 1'
_symmetry_Int_Tables_number 12
_symmetry_space_group_name_Hall '-C 2y'
loop_
_atom_site_label
_atom_site_fract_x
_atom_site_fract_y
_atom_site_fract_z
_atom_site_occupancy
Dy1 0.000 0.000 0.000 1
Dy2 0.000 0.208 0.500 1
Ho1 0.000 0.500 0.500 1
Ho2 0.199 0.202 0.199 1
Ho3 0.208 0.000 0.706 1
Tm1 0.000 0.500 0.000 1
# - Density of states at the Fermi level: 31.75 states/eV per cell
# - Mass density: 8.55 Mg/m³
# - Formation enthalpy at 0 K: 0.281 eV per atom
# - Energy relative to the lowest polymorph listed for this composition: 12.5 kJ per mole of atoms
# - Size of the total moment: 0.78 μB/cell
# - E: -47.2 eV per formula unit

# DyHo3Tm7 | the Alexandria database | PBE | relaxed
data_DyHo3Tm7
_chemical_formula_sum 'Dy1 Ho3 Tm7'
_cell_length_a 6.842
_cell_length_b 5.432
_cell_length_c 9.804
_cell_angle_alpha 90.00
_cell_angle_beta 110.06
_cell_angle_gamma 90.00
_symmetry_space_group_name_H-M 'P 1 2/m 1'
_symmetry_Int_Tables_number 10
_symmetry_space_group_name_Hall '-P 2y'
loop_
_atom_site_label
_atom_site_fract_x
_atom_site_fract_y
_atom_site_fract_z
_atom_site_occupancy
Dy1 0.000 0.000 0.000 1
Ho1 0.278 0.500 0.498 1
Ho2 0.500 0.000 0.000 1
Tm1 0.000 0.000 0.500 1
Tm2 0.147 0.500 0.791 1
Tm3 0.321 0.500 0.141 1
Tm4 0.419 0.000 0.331 1
# - Density of states at the Fermi level: 19.25 states/eV per cell
# - Mass density: 8.93 Mg/m³
# - Formation enthalpy at 0 K: 0.162 eV per atom
# - Energy relative to the lowest polymorph listed for this composition: 0.0 kJ per mole of atoms
# - Size of the total moment: 0.00 μB/cell
# - E: -47.8 eV per formula unit

# Dy5Ho2Tm4 | the Alexandria database | PBE | relaxed
data_Dy5Ho2Tm4
_chemical_formula_sum 'Dy10 Ho4 Tm8'
_cell_length_a 3.459
_cell_length_b 8.895
_cell_length_c 22.998
_cell_angle_alpha 90.00
_cell_angle_beta 90.00
_cell_angle_gamma 90.00
_symmetry_space_group_name_H-M 'I m m m'
_symmetry_Int_Tables_number 71
_symmetry_space_group_name_Hall '-I 2 2'
loop_
_atom_site_label
_atom_site_fract_x
_atom_site_fract_y
_atom_site_fract_z
_atom_site_occupancy
Dy1 0.000 0.000 0.000 1
Dy2 0.000 0.302 0.356 1
Ho1 0.000 0.500 0.231 1
Tm1 0.000 0.188 0.500 1
Tm2 0.000 0.500 0.097 1
# - Density of states at the Fermi level: 32.48 states/eV per cell
# - Mass density: 8.53 Mg/m³
# - Formation enthalpy at 0 K: 0.223 eV per atom
# - Energy relative to the lowest polymorph listed for this composition: 7.6 kJ per mole of atoms
# - Size of the total moment: 0.00 μB/cell
# - E: -47.6 eV per formula unit

# Dy4Ho8Tm3 | the Alexandria database | PBE | relaxed
data_Dy4Ho8Tm3
_chemical_formula_sum 'Dy12 Ho24 Tm9'
_cell_length_a 6.8502
_cell_length_b 6.8502
_cell_length_c 34.8800
_cell_angle_alpha 90.00
_cell_angle_beta 90.00
_cell_angle_gamma 120.00
_symmetry_space_group_name_H-M 'R -3 m'
_symmetry_Int_Tables_number 166
_symmetry_space_group_name_Hall '-R 3 2"'
loop_
_atom_site_label
_atom_site_fract_x
_atom_site_fract_y
_atom_site_fract_z
_atom_site_occupancy
Dy1 0.0000 0.0000 0.0000 1
Dy2 0.0000 0.0000 0.1637 1
Dy3 0.0000 0.0000 0.5000 1
Ho1 0.0000 0.0000 0.2553 1
Ho2 0.0018 0.5009 0.2507 1
Tm1 0.0000 0.5000 0.0000 1
# - Density of states at the Fermi level: 67.80 states/eV per cell
# - Mass density: 8.70 Mg/m³
# - Formation enthalpy at 0 K: 0.143 eV per atom
# - Energy relative to the lowest polymorph listed for this composition: 0.0 kJ per mole of atoms
# - Size of the total moment: 0.00 μB/cell
# - E: -66.3 eV per formula unit

# DyHoTm | the Alexandria database | PBE | relaxed
data_DyHoTm
_chemical_formula_sum 'Dy4 Ho4 Tm4'
_cell_length_a 12.920
_cell_length_b 3.505
_cell_length_c 9.504
_cell_angle_alpha 90.00
_cell_angle_beta 120.40
_cell_angle_gamma 90.00
_symmetry_space_group_name_H-M 'C 1 2/m 1'
_symmetry_Int_Tables_number 12
_symmetry_space_group_name_Hall '-C 2y'
loop_
_atom_site_label
_atom_site_fract_x
_atom_site_fract_y
_atom_site_fract_z
_atom_site_occupancy
Dy1 0.106 0.000 0.331 1
Ho1 0.140 0.500 0.023 1
Tm1 0.127 0.500 0.664 1
# - Density of states at the Fermi level: 22.40 states/eV per cell
# - Mass density: 8.88 Mg/m³
# - Formation enthalpy at 0 K: 0.038 eV per atom
# - Energy relative to the lowest polymorph listed for this composition: 2.7 kJ per mole of atoms
# - Size of the total moment: 0.00 μB/cell
# - E: -13.5 eV per formula unit